Here is an optimized crystal structure of RbBeRe2 from the Alexandria database. Energies are from GGA-PBE.

```
RbBeRe2
1.0
4.814 0.000 0.000
0.000 4.814 0.000
2.407 2.407 8.600
Rb Be Re
2 2 4
direct
0.750 0.250 0.500
0.000 0.000 0.000
0.250 0.750 0.500
0.500 0.500 0.000
0.875 0.625 0.750
0.375 0.625 0.750
0.375 0.625 0.250
0.375 0.125 0.250
```

Computed properties:
E_form, eV/atom: 1.77
Total energy, eV/f.u.: -22.51

=====

Here is an optimized crystal structure of NaIn2Pt3 from the Alexandria database. Energies are from GGA-PBE.

```
NaIn2Pt3
1.0
5.728 0.000 0.000
0.000 8.753 0.000
-2.864 -4.376 4.952
Pt In Na
6 4 2
direct
0.000 0.500 0.500
0.500 0.250 0.000
0.500 0.750 0.000
0.000 0.750 0.000
0.000 0.000 0.500
0.000 0.250 0.000
0.833 0.083 0.166
0.833 0.583 0.166
0.167 0.417 0.834
0.167 0.917 0.834
0.500 0.250 0.500
0.500 0.750 0.500
```

Computed properties:
E_form, eV/atom: -0.39
Total energy, eV/f.u.: -27.26

=====

Here is an optimized crystal structure of Co2Sb from the Alexandria database. Energies are from GGA-PBE.

```
Co2Sb
1.0
-0.484 -2.858 -0.492
3.883 -0.449 -1.212
1.942 -1.495 6.776
Co Sb
4 2
direct
0.722 0.500 0.836
0.778 0.000 0.336
0.278 0.500 0.164
0.222 0.000 0.664
0.500 0.500 0.500
0.000 0.000 0.000
```

Computed properties:
Total energy, eV/f.u.: -17.46

=====

Here is an optimized crystal structure of LuHfTlIn from the Alexandria database. Energies are from GGA-PBE.

```
LuHfTlIn
1.0
-1.386 -3.634 3.347
2.629 -0.605 4.365
-2.128 1.315 4.480
Lu In Tl Hf
1 1 1 1
direct
0.250 0.250 0.250
0.500 0.500 0.500
0.000 0.000 0.000
0.750 0.750 0.750
```

Computed properties:
E_form, eV/atom: -0.05
Total energy, eV/f.u.: -19.78

=====

Here is an optimized crystal structure of Ga2Pt2W from the Alexandria database. Energies are from GGA-PBE.

```
Ga2Pt2W
1.0
-4.415 5.771 1.673
-5.847 -4.605 0.453
0.518 -0.391 2.717
Pt Ga W
4 4 2
direct
0.158 0.658 0.500
0.658 0.842 0.500
0.842 0.342 0.500
0.342 0.158 0.500
0.142 0.358 0.000
0.858 0.642 0.000
0.642 0.142 0.000
0.358 0.858 0.000
0.000 0.000 0.000
0.500 0.500 0.000
```

Computed properties:
E_form, eV/atom: -0.16
Total energy, eV/f.u.: -31.87

=====

Here is an optimized crystal structure of Dy5Bi2Ru from the Alexandria database. Energies are from GGA-PBE.

```
Dy5Bi2Ru
1.0
5.670 0.000 0.000
-2.835 7.383 0.000
0.000 0.000 14.868
Dy Ru Bi
10 2 4
direct
0.951 0.901 0.871
0.707 0.414 0.612
0.707 0.414 0.888
0.049 0.099 0.129
0.951 0.901 0.629
0.705 0.410 0.250
0.295 0.590 0.750
0.049 0.099 0.371
0.293 0.586 0.112
0.293 0.586 0.388
0.820 0.641 0.750
0.180 0.359 0.250
0.150 0.299 0.555
0.850 0.701 0.055
0.150 0.299 0.945
0.850 0.701 0.445
```

Computed properties:
E_form, eV/atom: -0.20
Total energy, eV/f.u.: -41.61